Here is an optimized crystal structure of Ni2HRuAu from Alexandria. Energies are from GGA-PBE.

Lattice parameters (Å, degrees): 3.8944 3.8944 3.7162 90.00 90.00 90.00
With the nearest neighbours (Å) after each atom.
Space group P4/mmm (No. 123)
Inequivalent atoms, fractional coordinates:
Ni: 0.0000 0.5000 0.0000 [2 per cell]  2 H 1.95
H: 0.0000 0.0000 0.0000 [1 per cell]  2 Ru 1.86, 4 Ni 1.95
Ru: 0.0000 0.0000 0.5000 [1 per cell]  2 H 1.86
Au: 0.5000 0.5000 0.5000 [1 per cell]  8 Ni 2.69, 4 Ru 2.75

Values from the calculation:
E in eV per cell: -26.492
Theoretical density in g cm⁻³: 12.3
Volume in Å³ per cell: 56.4